[1]
Computed, not measured: crystalline TePSe2 at its relaxed geometry at the PBE level of DFT.

The space group is Fm-3m (No. 225) and the conventional cell measures 6.964, 6.964 and 6.964 Å, with angles of 90.00, 90.00 and 90.00 degrees. The distinct sites, in fractional coordinates, are Te at (0.000, 0.000, 0.000), P at (0.000, 0.000, 0.500) and Se at (0.250, 0.250, 0.250).

Its formation energy (no corrections) is 0.62 eV/atom. For the volume, the calculation gives 337.70 Å³/cell. The calculation puts the mass density at 6.2 g cm⁻³. Its total magnetization is 0.00 μB/cell. The offset from the most stable computed form is 0.463 eV per atom. The value obtained for the density of states at the Fermi level is 13.38 states/eV per cell.

[2]
Computed, not measured: crystalline TePSe3 at its relaxed geometry at the PBE level of DFT.

The space group is Pm-3m (No. 221) and the conventional cell measures 5.349, 5.349 and 5.349 Å, with angles of 90.00, 90.00 and 90.00 degrees. The distinct sites, in fractional coordinates, are Te at (0.000, 0.000, 0.000), P at (0.500, 0.500, 0.500) and Se at (0.000, 0.000, 0.500).

Its formation energy (no corrections) is 1.05 eV/atom. For the volume, the calculation gives 153.08 Å³/cell. The calculation puts the mass density at 4.3 g cm⁻³. Its total magnetization is 1.26 μB/cell. The offset from the most stable computed form is 1.038 eV per atom. The value obtained for the density of states at the Fermi level is 5.24 states/eV per cell.

[3]
Computed, not measured: crystalline Th8Te4P3Se at its relaxed geometry at the PBE level of DFT.

The space group is R-3m (No. 166, hexagonal axes) and the conventional cell measures 8.4278, 8.4278 and 22.1828 Å, with angles of 90.00, 90.00 and 120.00 degrees. The distinct sites, in fractional coordinates, are Th at (0.0000, 0.0000, 0.2358), Th at (0.0100, 0.5050, 0.7627), Te at (0.0000, 0.0000, 0.0000), Te at (0.0000, 0.5000, 0.0000), P at (0.0000, 0.5000, 0.5000) and Se at (0.0000, 0.0000, 0.5000).

Its formation energy (no corrections) is -1.35 eV/atom. For the volume, the calculation gives 1364.48 Å³/cell. The calculation puts the mass density at 9.3 g cm⁻³. Its total magnetization is 0.00 μB/cell. The value obtained for the density of states at the Fermi level is 28.99 states/eV per cell.

[4]
Computed, not measured: crystalline Th6Te3PSe2 at its relaxed geometry at the PBE level of DFT.

The space group is C2/m (No. 12) and the conventional cell measures 7.413, 12.795 and 7.671 Å, with angles of 90.00, 108.64 and 90.00 degrees. The distinct sites, in fractional coordinates, are Th at (0.231, 0.160, 0.215), Th at (0.245, 0.000, 0.780), Te at (0.000, 0.173, 0.500), Te at (0.000, 0.500, 0.500), P at (0.000, 0.000, 0.000) and Se at (0.000, 0.335, 0.000).

Its formation energy (no corrections) is -1.32 eV/atom. For the volume, the calculation gives 689.47 Å³/cell. The calculation puts the mass density at 9.5 g cm⁻³. Its total magnetization is 0.00 μB/cell. The value obtained for the density of states at the Fermi level is 20.58 states/eV per cell.

[5]
Computed, not measured: crystalline Th4Te2PSe at its relaxed geometry at the PBE level of DFT.

The space group is P2/m (No. 10) and the conventional cell measures 7.338, 4.262 and 7.727 Å, with angles of 90.00, 108.66 and 90.00 degrees. The distinct sites, in fractional coordinates, are Th at (0.227, 0.000, 0.211), Th at (0.251, 0.500, 0.784), Te at (0.000, 0.000, 0.500), Te at (0.500, 0.500, 0.500), P at (0.000, 0.500, 0.000) and Se at (0.500, 0.000, 0.000).

Its formation energy (no corrections) is -1.33 eV/atom. For the volume, the calculation gives 228.93 Å³/cell. The calculation puts the mass density at 9.4 g cm⁻³. Its total magnetization is 0.00 μB/cell. The value obtained for the density of states at the Fermi level is 6.01 states/eV per cell.

[6]
Computed, not measured: crystalline Th6Te3P2Se at its relaxed geometry at the PBE level of DFT.

The space group is C2/m (No. 12) and the conventional cell measures 7.343, 12.672 and 7.744 Å, with angles of 90.00, 108.29 and 90.00 degrees. The distinct sites, in fractional coordinates, are Th at (0.223, 0.000, 0.209), Th at (0.244, 0.327, 0.213), Te at (0.000, 0.000, 0.500), Te at (0.000, 0.338, 0.500), P at (0.000, 0.168, 0.000) and Se at (0.000, 0.500, 0.000).

Its formation energy (no corrections) is -1.34 eV/atom. For the volume, the calculation gives 684.16 Å³/cell. The calculation puts the mass density at 9.3 g cm⁻³. Its total magnetization is 0.00 μB/cell. The value obtained for the density of states at the Fermi level is 18.23 states/eV per cell.

What did the fourth record say?
Computed, not measured: crystalline Th6Te3PSe2 at its relaxed geometry at the PBE level of DFT.

The space group is C2/m (No. 12) and the conventional cell measures 7.413, 12.795 and 7.671 Å, with angles of 90.00, 108.64 and 90.00 degrees. The distinct sites, in fractional coordinates, are Th at (0.231, 0.160, 0.215), Th at (0.245, 0.000, 0.780), Te at (0.000, 0.173, 0.500), Te at (0.000, 0.500, 0.500), P at (0.000, 0.000, 0.000) and Se at (0.000, 0.335, 0.000).

Its formation energy (no corrections) is -1.32 eV/atom. For the volume, the calculation gives 689.47 Å³/cell. The calculation puts the mass density at 9.5 g cm⁻³. Its total magnetization is 0.00 μB/cell. The value obtained for the density of states at the Fermi level is 20.58 states/eV per cell.

The highest volume belongs to which entry? Th8Te4P3Se

What is the formula in the second record? TePSe3